No. 1
VASP calculation (PBE) on an optimized crystal structure of Ac2Pm2Tl3.

abc: 4.6131 3.7747 13.5961
angles: 90.00 80.23 90.00
Sites, in units of the cell vectors:
1 Ac 0.5742 0.5000 0.8516
2 Ac 0.4258 0.5000 0.1484
3 Pm 0.7045 0.5000 0.5911
4 Pm 0.2955 0.5000 0.4089
5 Tl 0.8462 0.0000 0.3076
6 Tl 0.0000 0.0000 0.0000
7 Tl 0.1538 0.0000 0.6924

## Properties
Energy of formation (eV per atom): -0.229
SG: Cmmm (65)
Excess energy over the best structure of this formula in the dataset (eV per atom): 0.008



No. 2
VASP calculation (PBE) on an optimized crystal structure of Ac2PmTl9.

abc: 4.9512 4.9512 14.8261
angles: 90.00 90.00 90.00
Sites, in units of the cell vectors:
1 Ac 0.0000 0.0000 0.3274
2 Ac 0.0000 0.0000 0.6726
3 Pm 0.0000 0.0000 0.0000
4 Tl 0.5000 0.5000 0.0000
5 Tl 0.5000 0.5000 0.3314
6 Tl 0.5000 0.5000 0.6686
7 Tl 0.5000 0.0000 0.1581
8 Tl 0.5000 0.0000 0.5000
9 Tl 0.5000 0.0000 0.8419
10 Tl 0.0000 0.5000 0.1581
11 Tl 0.0000 0.5000 0.5000
12 Tl 0.0000 0.5000 0.8419

## Properties
Energy of formation (eV per atom): -0.311
SG: P4/mmm (123)



No. 3
VASP calculation (PBE) on an optimized crystal structure of AcPmTl.

abc: 6.8026 6.8026 6.8026
angles: 40.30 40.30 40.30
Sites, in units of the cell vectors:
1 Pm 0.7954 0.7954 0.7954
2 Ac 0.9869 0.9869 0.9869
3 Tl 0.5479 0.5479 0.5479

## Properties
Energy of formation (eV per atom): 0.114
SG: R3m (160)
Excess energy over the best structure of this formula in the dataset (eV per atom): 0.368



No. 4
VASP calculation (PBE) on an optimized crystal structure of Ac3PmTl.

abc: 5.2612 5.2620 13.8756
angles: 90.00 79.07 90.00
Sites, in units of the cell vectors:
1 Ac 0.7697 0.2500 0.1089
2 Ac 0.3818 0.2500 0.8848
3 Ac 0.5738 0.2500 0.5007
4 Ac 0.2666 0.7500 0.1152
5 Ac 0.8786 0.7500 0.8911
6 Ac 0.0745 0.7500 0.4993
7 Pm 0.4769 0.7500 0.6945
8 Pm 0.1714 0.2500 0.3055
9 Tl 0.6707 0.7500 0.3069
10 Tl 0.9776 0.2500 0.6931

## Properties
Energy of formation (eV per atom): -0.073
SG: Cmcm (63)
Excess energy over the best structure of this formula in the dataset (eV per atom): 0.000



No. 5
VASP calculation (PBE) on an optimized crystal structure of Ac3Pm4Tl4.

abc: 4.9369 8.7420 10.2763
angles: 115.17 103.90 90.00
Sites, in units of the cell vectors:
1 Ac 0.1130 0.1130 0.2261
2 Ac 0.8870 0.8870 0.7739
3 Ac 0.0000 0.5000 0.0000
4 Pm 0.3307 0.1311 0.6614
5 Pm 0.6693 0.4697 0.3386
6 Pm 0.6693 0.8689 0.3386
7 Pm 0.3307 0.5303 0.6614
8 Tl 0.2272 0.7272 0.4545
9 Tl 0.7728 0.2728 0.5455
10 Tl 0.5000 0.8071 0.0000
11 Tl 0.5000 0.1929 0.0000

## Properties
Energy of formation (eV per atom): -0.238
SG: Immm (71)



No. 6
VASP calculation (PBE) on an optimized crystal structure of Ac2Pm2Tl.

abc: 4.4945 4.4945 10.4186
angles: 102.46 102.46 90.00
Sites, in units of the cell vectors:
1 Ac 0.4090 0.4090 0.8181
2 Ac 0.5910 0.5910 0.1819
3 Pm 0.7500 0.2500 0.5000
4 Pm 0.2500 0.7500 0.5000
5 Tl 0.0000 0.0000 0.0000

## Properties
Energy of formation (eV per atom): 0.209
SG: I4/mmm (139)



Number 1: uncorrected energy -3.774 eV/atom, mass density 9.7 g cm⁻³, magnetization 0.0 μB/f.u.. Number 2: uncorrected energy -3.166 eV/atom, mass density 11.1 g cm⁻³, magnetization 0.0 μB/f.u.. Number 3: uncorrected energy -3.627 eV/atom, mass density 8.1 g cm⁻³, magnetization 0.0 μB/f.u.. Number 4: uncorrected energy -3.962 eV/atom, mass density 9.1 g cm⁻³, magnetization 0.0 μB/f.u.. Number 5: uncorrected energy -3.947 eV/atom, mass density 8.9 g cm⁻³, magnetization 0.0 μB/f.u.. Number 6: uncorrected energy -3.808 eV/atom, mass density 7.9 g cm⁻³, magnetization 0.0 μB/f.u..